Entry from Alexandria: a crystal of YBe2Fe relaxed with PBEsol (SCAN).

It has space group C2/m (No. 12), with a = 6.418 Å, b = 3.689 Å, c = 5.181 Å, α = 90.00°, β = 114.11° and γ = 90.00°. The inequivalent atoms are Y at (0.000, 0.000, 0.000), Be at (0.194, 0.000, 0.581) and Fe at (0.000, 0.500, 0.500).

The energy above the most stable polymorph in this dataset comes out at 0 meV per atom. The calculation puts the mass density at 4.83 Mg/m³. Its total energy is -13.673 eV/atom. The calculation puts the total moment at 0.271 μB per atom.

---

Entry from Alexandria: a crystal of Be2ZnFe relaxed with PBEsol (SCAN).

It has space group I-42d (No. 122), with a = 5.899 Å, b = 5.899 Å, c = 4.728 Å, α = 90.00°, β = 90.00° and γ = 90.00°. The inequivalent atoms are Be at (0.242, 0.250, 0.125), Zn at (0.000, 0.000, 0.500) and Fe at (0.000, 0.000, 0.000).

The calculation puts the mass density at 5.62 Mg/m³. Its total energy is -9.653 eV/atom. The calculation puts the total moment at 0.000 μB per atom.

---

Entry from Alexandria: a crystal of BeZnFe3 relaxed with PBEsol (SCAN).

It has space group Pm-3m (No. 221), with a = 3.873 Å, b = 3.873 Å, c = 3.873 Å, α = 90.00°, β = 90.00° and γ = 90.00°. The inequivalent atoms are Be at (0.000, 0.000, 0.000), Zn at (0.500, 0.500, 0.500) and Fe at (0.000, 0.000, 0.500).

The calculation puts the mass density at 6.92 Mg/m³. Its total energy is -13.966 eV/atom. The calculation puts the total moment at 1.511 μB per atom.